Material: V6Si8Mo
Method: DFT, PBE
State: optimized geometry

Unit cell a=6.360 b=6.360 c=6.360 alpha=66.87 beta=66.87 gamma=66.87
Sites, in units of the cell vectors:
1 V 0.145 0.411 0.656
2 V 0.344 0.855 0.589
3 V 0.411 0.656 0.145
4 V 0.589 0.344 0.855
5 V 0.656 0.145 0.411
6 V 0.855 0.589 0.344
7 Si 0.057 0.845 0.413
8 Si 0.155 0.587 0.943
9 Si 0.286 0.286 0.286
10 Si 0.413 0.057 0.845
11 Si 0.587 0.943 0.155
12 Si 0.714 0.714 0.714
13 Si 0.845 0.413 0.057
14 Si 0.943 0.155 0.587
15 Mo 0.000 0.000 0.000

Calculated values
volume: 209 Å³ per cell
formation energy (no corrections): -5.707 eV per formula unit
calculated density: 5.0 g cm⁻³
D(E_F): 7.6 states/eV per cell
space group: R-3